The following is a PBE calculation of a geometry-optimized K2Hf structure, from OQMD.

Values from the calculation:
- Volume: 226.8 Å³/cell
- Uncorrected energy: -2.64 eV per atom

```
data_K2Hf
_symmetry_space_group_name_H-M 'P 1'
_symmetry_Int_Tables_number 1
_symmetry_space_group_name_Hall 'P 1'
_cell_length_a 6.8447
_cell_length_b 6.8447
_cell_length_c 6.8447
_cell_angle_alpha 60.00
_cell_angle_beta 60.00
_cell_angle_gamma 60.00
loop_
_atom_site_label
_atom_site_fract_x
_atom_site_fract_y
_atom_site_fract_z
Hf1 0.0000 0.0000 0.0000
Hf2 0.2500 0.2500 0.2500
K1 0.6250 0.6250 0.1250
K2 0.6250 0.1250 0.6250
K3 0.1250 0.6250 0.6250
K4 0.6250 0.6250 0.6250
```

***

The following is a PBE calculation of a geometry-optimized MgFeTcAu structure, from OQMD.

Values from the calculation:
- Volume: 60.4 Å³/cell
- Uncorrected energy: -5.71 eV per atom

```
data_MgFeTcAu
_symmetry_space_group_name_H-M 'P 1'
_symmetry_Int_Tables_number 1
_symmetry_space_group_name_Hall 'P 1'
_cell_length_a 4.4037
_cell_length_b 4.4037
_cell_length_c 4.4037
_cell_angle_alpha 60.00
_cell_angle_beta 60.00
_cell_angle_gamma 60.00
loop_
_atom_site_label
_atom_site_fract_x
_atom_site_fract_y
_atom_site_fract_z
Au1 0.0000 0.0000 0.0000
Fe1 0.2500 0.2500 0.2500
Mg1 0.7500 0.7500 0.7500
Tc1 0.5000 0.5000 0.5000
```

***

The following is a PBE calculation of a geometry-optimized Sm5DyTe6 structure, from OQMD.

Values from the calculation:
- Volume: 367.6 Å³/cell
- Uncorrected energy: -5.29 eV per atom

```
data_Sm5DyTe6
_symmetry_space_group_name_H-M 'P 1'
_symmetry_Int_Tables_number 1
_symmetry_space_group_name_Hall 'P 1'
_cell_length_a 7.6804
_cell_length_b 7.6804
_cell_length_c 7.6481
_cell_angle_alpha 99.63
_cell_angle_beta 99.63
_cell_angle_gamma 120.14
loop_
_atom_site_label
_atom_site_fract_x
_atom_site_fract_y
_atom_site_fract_z
Dy1 0.0000 0.0000 0.0000
Sm1 0.6677 0.3323 0.0000
Sm2 0.3323 0.6677 0.0000
Sm3 0.8276 0.1724 0.5000
Sm4 0.5000 0.5000 0.5000
Sm5 0.1724 0.8276 0.5000
Te1 0.4091 0.0824 0.2461
Te2 0.0824 0.4091 0.2461
Te3 0.7560 0.7560 0.2504
Te4 0.2440 0.2440 0.7496
Te5 0.9176 0.5909 0.7539
Te6 0.5909 0.9176 0.7539
```

***

The following is a PBE calculation of a geometry-optimized TaZnGaCo structure, from OQMD.

Values from the calculation:
- Volume: 56.3 Å³/cell
- Uncorrected energy: -5.85 eV per atom

```
data_TaZnGaCo
_symmetry_space_group_name_H-M 'P 1'
_symmetry_Int_Tables_number 1
_symmetry_space_group_name_Hall 'P 1'
_cell_length_a 4.3032
_cell_length_b 4.3032
_cell_length_c 4.3032
_cell_angle_alpha 60.00
_cell_angle_beta 60.00
_cell_angle_gamma 60.00
loop_
_atom_site_label
_atom_site_fract_x
_atom_site_fract_y
_atom_site_fract_z
Co1 0.7500 0.7500 0.7500
Ga1 0.0000 0.0000 0.0000
Ta1 0.5000 0.5000 0.5000
Zn1 0.2500 0.2500 0.2500
```

***

The following is a PBE calculation of a geometry-optimized LuFeCuBi structure, from OQMD.

Values from the calculation:
- Volume: 79.4 Å³/cell
- Uncorrected energy: -4.87 eV per atom

```
data_LuFeCuBi
_symmetry_space_group_name_H-M 'P 1'
_symmetry_Int_Tables_number 1
_symmetry_space_group_name_Hall 'P 1'
_cell_length_a 4.8252
_cell_length_b 4.8252
_cell_length_c 4.8252
_cell_angle_alpha 60.00
_cell_angle_beta 60.00
_cell_angle_gamma 60.00
loop_
_atom_site_label
_atom_site_fract_x
_atom_site_fract_y
_atom_site_fract_z
Bi1 0.0000 0.0000 0.0000
Cu1 0.7500 0.7500 0.7500
Fe1 0.5000 0.5000 0.5000
Lu1 0.2500 0.2500 0.2500
```

***

The following is a PBE calculation of a geometry-optimized RbTc2O4 structure, from OQMD.

Values from the calculation:
- Volume: 201.1 Å³/cell
- Uncorrected energy: -7.03 eV per atom

```
data_RbTc2O4
_symmetry_space_group_name_H-M 'P 1'
_symmetry_Int_Tables_number 1
_symmetry_space_group_name_Hall 'P 1'
_cell_length_a 6.5757
_cell_length_b 6.5757
_cell_length_c 6.5757
_cell_angle_alpha 119.99
_cell_angle_beta 90.01
_cell_angle_gamma 119.99
loop_
_atom_site_label
_atom_site_fract_x
_atom_site_fract_y
_atom_site_fract_z
O1 0.5970 0.1941 0.4029
O2 0.2089 0.8060 0.4029
O3 0.5971 0.8060 0.4030
O4 0.1529 0.3060 0.4589
O5 0.5971 0.1941 0.7911
O6 0.1529 0.6941 0.8470
O7 0.1530 0.3060 0.8471
O8 0.5411 0.6941 0.8471
Rb1 0.0000 0.0000 0.0000
Rb2 0.7500 0.5000 0.2500
Tc1 0.3750 0.7500 0.1250
Tc2 0.3750 0.2500 0.6250
Tc3 0.8750 0.2500 0.6250
Tc4 0.3750 0.7500 0.6250
```

***

The following is a PBE calculation of a geometry-optimized Hf2InCo structure, from OQMD.

Values from the calculation:
- Volume: 74.5 Å³/cell
- Uncorrected energy: -7.24 eV per atom

```
data_Hf2InCo
_symmetry_space_group_name_H-M 'P 1'
_symmetry_Int_Tables_number 1
_symmetry_space_group_name_Hall 'P 1'
_cell_length_a 4.7225
_cell_length_b 4.7225
_cell_length_c 4.7225
_cell_angle_alpha 60.00
_cell_angle_beta 60.00
_cell_angle_gamma 60.00
loop_
_atom_site_label
_atom_site_fract_x
_atom_site_fract_y
_atom_site_fract_z
Co1 0.2500 0.2500 0.2500
Hf1 0.0000 0.0000 0.0000
Hf2 0.7500 0.7500 0.7500
In1 0.5000 0.5000 0.5000
```

***

The following is a PBE calculation of a geometry-optimized KNaTcIr structure, from OQMD.

Values from the calculation:
- Volume: 85.8 Å³/cell
- Uncorrected energy: -3.74 eV per atom

```
data_KNaTcIr
_symmetry_space_group_name_H-M 'P 1'
_symmetry_Int_Tables_number 1
_symmetry_space_group_name_Hall 'P 1'
_cell_length_a 4.9499
_cell_length_b 4.9499
_cell_length_c 4.9499
_cell_angle_alpha 60.00
_cell_angle_beta 60.00
_cell_angle_gamma 60.00
loop_
_atom_site_label
_atom_site_fract_x
_atom_site_fract_y
_atom_site_fract_z
Ir1 0.0000 0.0000 0.0000
K1 0.2500 0.2500 0.2500
Na1 0.7500 0.7500 0.7500
Tc1 0.5000 0.5000 0.5000
```

***

The following is a PBE calculation of a geometry-optimized YSiPt2 structure, from OQMD.

Values from the calculation:
- Volume: 72.1 Å³/cell
- Uncorrected energy: -6.54 eV per atom

```
data_YSiPt2
_symmetry_space_group_name_H-M 'P 1'
_symmetry_Int_Tables_number 1
_symmetry_space_group_name_Hall 'P 1'
_cell_length_a 4.6714
_cell_length_b 4.6714
_cell_length_c 4.6714
_cell_angle_alpha 60.00
_cell_angle_beta 60.00
_cell_angle_gamma 60.00
loop_
_atom_site_label
_atom_site_fract_x
_atom_site_fract_y
_atom_site_fract_z
Pt1 0.0000 0.0000 0.0000
Pt2 0.7500 0.7500 0.7500
Si1 0.5000 0.5000 0.5000
Y1 0.2500 0.2500 0.2500
```

***

The following is a PBE calculation of a geometry-optimized NbMo structure, from OQMD.

Values from the calculation:
- Formation energy: 0.814 eV/atom
- Volume: 78.3 Å³/cell

```
data_NbMo
_symmetry_space_group_name_H-M 'P 1'
_symmetry_Int_Tables_number 1
_symmetry_space_group_name_Hall 'P 1'
_cell_length_a 4.1803
_cell_length_b 4.1803
_cell_length_c 5.1726
_cell_angle_alpha 90.00
_cell_angle_beta 90.00
_cell_angle_gamma 120.00
loop_
_atom_site_label
_atom_site_fract_x
_atom_site_fract_y
_atom_site_fract_z
Mo1 0.0000 0.0000 0.0000
Mo2 0.0000 0.0000 0.5000
Nb1 0.3333 0.6667 0.2500
Nb2 0.6667 0.3333 0.7500
```

***

The following is a PBE calculation of a geometry-optimized InPIrO structure, from OQMD.

Values from the calculation:
- Volume: 156.2 Å³/cell
- Uncorrected energy: -5.30 eV per atom

```
data_InPIrO
_symmetry_space_group_name_H-M 'P 1'
_symmetry_Int_Tables_number 1
_symmetry_space_group_name_Hall 'P 1'
_cell_length_a 4.1636
_cell_length_b 4.1636
_cell_length_c 9.0111
_cell_angle_alpha 90.00
_cell_angle_beta 90.00
_cell_angle_gamma 90.00
loop_
_atom_site_label
_atom_site_fract_x
_atom_site_fract_y
_atom_site_fract_z
In1 0.0000 0.0000 0.5000
In2 0.5000 0.5000 0.5000
Ir1 0.5000 0.0000 0.0576
Ir2 0.0000 0.5000 0.9424
O1 0.0000 0.0000 0.0000
O2 0.5000 0.5000 0.0000
P1 0.5000 0.0000 0.3000
P2 0.0000 0.5000 0.7000
```

***

Repeat the first record exactly.
The following is a PBE calculation of a geometry-optimized K2Hf structure, from OQMD.

Values from the calculation:
- Volume: 226.8 Å³/cell
- Uncorrected energy: -2.64 eV per atom

```
data_K2Hf
_symmetry_space_group_name_H-M 'P 1'
_symmetry_Int_Tables_number 1
_symmetry_space_group_name_Hall 'P 1'
_cell_length_a 6.8447
_cell_length_b 6.8447
_cell_length_c 6.8447
_cell_angle_alpha 60.00
_cell_angle_beta 60.00
_cell_angle_gamma 60.00
loop_
_atom_site_label
_atom_site_fract_x
_atom_site_fract_y
_atom_site_fract_z
Hf1 0.0000 0.0000 0.0000
Hf2 0.2500 0.2500 0.2500
K1 0.6250 0.6250 0.1250
K2 0.6250 0.1250 0.6250
K3 0.1250 0.6250 0.6250
K4 0.6250 0.6250 0.6250
```

***

> Which value of volume does entry 11 give?

156.2 Å³/cell

***

> Which formula does entry 9 have?

YSiPt2